Record 1
CePmGaBi, relaxed, DFT PBE; formation energy = -1.904 eV/f.u.; calculated density = 8.35 Mg/m³; spin magnetization = 1.79 μB/cell
1.0
5.4120 0.0000 0.0000
2.7060 4.6869 0.0000
2.7060 1.5623 4.4189
Ga Pm Bi Ce
1 1 1 1
Cartesian
8.1180 4.6869 3.3141
0.0000 0.0000 0.0000
2.7060 1.5623 1.1047
5.4120 3.1246 2.2094



Record 2
Ce2Ga3BiPt4, relaxed, DFT PBE; formation energy = -8.095 eV/f.u.; calculated density = 11.96 Mg/m³; spin magnetization = 1.66 μB/cell
1.0
4.2301 0.0000 0.0000
0.0000 4.2301 0.0000
0.0000 0.0000 11.4780
Pt Ce Ga Bi
4 2 3 1
Cartesian
2.1150 0.0000 7.6124
0.0000 2.1150 3.8657
0.0000 0.0000 0.0000
2.1150 2.1150 0.0000
2.1150 0.0000 2.7087
0.0000 2.1150 8.7693
0.0000 2.1150 1.4163
0.0000 0.0000 5.7390
2.1150 0.0000 10.0617
2.1150 2.1150 5.7390



Record 3
CeGaSnBi, relaxed, DFT PBE; formation energy = -1.937 eV/f.u.; calculated density = 8.67 Mg/m³; spin magnetization = 0.31 μB/cell
1.0
-0.3554 3.7177 -2.7538
-3.6068 1.5418 2.5468
2.9992 2.3701 2.8127
Sn Ga Bi Ce
1 1 1 1
Cartesian
-1.9811 2.6297 -0.1035
0.0000 0.0000 0.0000
1.3219 3.0439 0.0294
-0.3038 1.9560 2.6798



Record 4
CeGd2Bi, relaxed, DFT PBE; formation energy = -1.471 eV/f.u.; energy relative to the lowest polymorph listed for this composition = 0.0000 eV per atom; calculated density = 9.36 Mg/m³; spin magnetization = 16.36 μB/cell
1.0
4.7871 0.0000 0.0000
0.0000 4.9596 0.0000
0.0000 0.0000 4.9596
Gd Ce Bi
2 1 1
Cartesian
0.0000 0.0000 2.4798
0.0000 2.4798 0.0000
2.3935 2.4798 2.4798
2.3935 0.0000 0.0000



Record 5
CeGdBi2, relaxed, DFT PBE; formation energy = -2.692 eV/f.u.; energy relative to the lowest polymorph listed for this composition = 0.0000 eV per atom; calculated density = 9.82 Mg/m³; spin magnetization = 8.43 μB/cell
1.0
4.0573 0.0000 0.0000
0.0000 5.4612 0.0000
0.0000 0.0000 5.4612
Gd Ce Bi
1 1 2
Cartesian
2.0286 0.0000 0.0000
2.0286 2.7306 2.7306
0.0000 0.0000 2.7306
0.0000 2.7306 0.0000



Record 6
CeGd2Bi, relaxed, DFT PBE; formation energy = -0.646 eV/f.u.; energy relative to the lowest polymorph listed for this composition = 0.2062 eV per atom; calculated density = 9.23 Mg/m³; spin magnetization = 17.87 μB/cell
1.0
-5.4343 -0.7812 -0.6209
-1.8574 -4.3576 -2.8441
-2.5132 -4.1550 2.6406
Gd Ce Bi
2 1 1
Cartesian
-2.4512 -2.3237 -0.2057
-7.3536 -6.9701 -0.6187
-4.9024 -4.6469 -0.4122
0.0000 0.0000 0.0000



Record 7
CeGdBi, relaxed, DFT PBE; formation energy = -0.341 eV/f.u.; calculated density = 9.70 Mg/m³; spin magnetization = 8.75 μB/cell
1.0
3.3474 0.0000 0.0000
0.0000 5.4674 0.0000
0.0000 -2.7337 4.7349
Bi Ce Gd
1 1 1
Cartesian
2.2328 0.0000 3.1566
0.5701 0.0000 0.0000
0.5445 2.7337 1.5783



Record 8
CeGd2Bi, relaxed, DFT PBE; formation energy = -1.334 eV/f.u.; energy relative to the lowest polymorph listed for this composition = 0.0343 eV per atom; calculated density = 9.05 Mg/m³; spin magnetization = 16.25 μB/cell
1.0
-3.9501 1.0876 -0.1772
0.0199 -0.5890 -4.0584
-1.9444 -6.9004 0.9920
Gd Bi Ce
2 1 1
Cartesian
-0.4448 -1.5784 0.2269
-1.4996 -5.3219 0.7651
-1.9651 0.2493 -2.1178
-2.9373 -3.2009 -1.6218



Record 9
CeGdHgBi, relaxed, DFT PBE; formation energy = -2.061 eV/f.u.; calculated density = 10.18 Mg/m³; spin magnetization = 9.29 μB/cell
1.0
-4.8260 1.1110 2.3077
-0.5866 -0.3708 5.4193
-0.6175 4.5263 2.9969
Bi Gd Ce Hg
1 1 1 1
Cartesian
-1.5075 1.3166 2.6810
-3.0150 2.6333 5.3620
0.0000 0.0000 0.0000
-4.5225 3.9499 8.0430



Record 10
CePmGdBi, relaxed, DFT PBE; formation energy = -0.595 eV/f.u.; calculated density = 9.01 Mg/m³; spin magnetization = 6.03 μB/cell
1.0
-3.7390 0.2084 4.0782
-2.1603 -4.6818 2.0171
1.3564 -1.7071 5.0893
Gd Bi Pm Ce
1 1 1 1
Cartesian
-2.2714 -3.0902 5.5923
-1.1357 -1.5451 2.7961
0.0000 0.0000 0.0000
-3.4072 -4.6353 8.3884



Record 11
CeGdSnBi, relaxed, DFT PBE; formation energy = -2.283 eV/f.u.; calculated density = 8.85 Mg/m³; spin magnetization = 6.81 μB/cell
1.0
-1.5527 -4.0717 3.3478
-3.3586 -3.9408 -1.8406
1.9122 -5.0902 -0.7940
Sn Ce Gd Bi
1 1 1 1
Cartesian
0.0000 0.0000 0.0000
-2.2493 -9.8270 0.5349
-0.7498 -3.2757 0.1783
-1.4995 -6.5514 0.3566



Record 12
CeGdBiTe, relaxed, DFT PBE; calculated density = 9.02 Mg/m³; spin magnetization = 8.98 μB/cell; raw formation energy = -93.5 kJ per mole of atoms
1.0
5.4860 0.0000 0.0000
2.7430 4.7510 0.0000
2.7430 1.5837 4.4793
Bi Ce Te Gd
1 1 1 1
Cartesian
5.4860 3.1673 2.2396
2.7430 1.5837 1.1198
0.0000 0.0000 0.0000
8.2290 4.7510 3.3595